# 1
The following is a DFT calculation (PBE) of a relaxed TbZrSc crystal.

a b c (Å): 3.270 5.089 10.656
angles (deg): 90.00 117.40 90.00
Positions (direct):
Sc 0.171 0.750 0.781
Sc 0.829 0.250 0.219
Zr 0.895 0.250 0.930
Zr 0.105 0.750 0.070
Tb 0.392 0.250 0.594
Tb 0.608 0.750 0.406

Properties
DOS(E_F) (states/eV per atom): 1.37
Total magnetization (μB/f.u.): 0.00
Symmetry: Cmcm
ΔE_f (eV/atom): 0.03
Crystal system: orthorhombic
Excess energy over the best structure of this formula in the dataset (eV/atom): 0.000

---

# 2
The following is a DFT calculation (PBE) of a relaxed Tb2Zr3Sc8 crystal.

a b c (Å): 4.460 7.162 10.763
angles (deg): 86.12 90.00 90.00
Positions (direct):
Sc 0.000 0.879 0.203
Sc 0.000 0.121 0.797
Sc 0.500 0.829 0.746
Sc 0.000 0.439 0.341
Sc 0.000 0.561 0.659
Sc 0.500 0.585 0.139
Sc 0.500 0.415 0.861
Sc 0.500 0.171 0.254
Zr 0.000 0.713 0.936
Zr 0.500 0.000 0.000
Zr 0.000 0.287 0.064
Tb 0.500 0.262 0.563
Tb 0.500 0.738 0.437

Properties
DOS(E_F) (states/eV per atom): 1.50
Total magnetization (μB/f.u.): 0.00
Symmetry: P2/m
ΔE_f (eV/atom): 0.13
Crystal system: monoclinic

---

# 3
The following is a DFT calculation (PBE) of a relaxed TbZrSc crystal.

a b c (Å): 3.312 3.312 7.521
angles (deg): 102.72 102.72 90.00
Positions (direct):
Zr 0.327 0.327 0.655
Tb 0.995 0.995 0.989
Sc 0.678 0.678 0.356

Properties
DOS(E_F) (states/eV per atom): 1.54
Total magnetization (μB/f.u.): 0.00
Symmetry: I4mm
ΔE_f (eV/atom): 0.06
Crystal system: tetragonal
Excess energy over the best structure of this formula in the dataset (eV/atom): 0.029

---

# 4
The following is a DFT calculation (PBE) of a relaxed TbZr2Sc crystal.

a b c (Å): 3.270 3.270 10.971
angles (deg): 81.43 81.43 60.00
Positions (direct):
Zr 0.252 0.252 0.243
Zr 0.748 0.748 0.757
Sc 0.000 0.000 0.000
Tb 0.500 0.500 0.500

Properties
DOS(E_F) (states/eV per atom): 1.49
Total magnetization (μB/f.u.): 0.00
Symmetry: R-3m
ΔE_f (eV/atom): 0.09
Crystal system: trigonal
Excess energy over the best structure of this formula in the dataset (eV/atom): 0.033

---

# 5
The following is a DFT calculation (PBE) of a relaxed TbZr2Sc crystal.

a b c (Å): 3.775 3.775 7.073
angles (deg): 90.00 90.00 90.00
Positions (direct):
Sc 0.500 0.500 0.000
Zr 0.000 0.000 0.784
Zr 0.000 0.000 0.216
Tb 0.500 0.500 0.500

Properties
DOS(E_F) (states/eV per atom): 1.93
Total magnetization (μB/f.u.): 0.00
Symmetry: P4/mmm
ΔE_f (eV/atom): 0.17
Crystal system: tetragonal
Excess energy over the best structure of this formula in the dataset (eV/atom): 0.105

---

# 6
The following is a DFT calculation (PBE) of a relaxed TbZrSc crystal.

a b c (Å): 3.328 3.328 8.145
angles (deg): 90.00 90.00 120.00
Positions (direct):
Zr 0.667 0.333 0.341
Tb 0.000 0.000 0.009
Sc 0.333 0.667 0.650

Properties
DOS(E_F) (states/eV per atom): 1.09
Total magnetization (μB/f.u.): 0.00
Symmetry: P3m1
ΔE_f (eV/atom): 0.07
Crystal system: trigonal
Excess energy over the best structure of this formula in the dataset (eV/atom): 0.038

---

# 7
The following is a DFT calculation (PBE) of a relaxed TbZr4Sc4 crystal.

a b c (Å): 8.768 8.035 11.345
angles (deg): 63.66 115.90 141.43
Positions (direct):
Sc 0.762 0.212 0.577
Sc 0.149 0.915 0.091
Sc 0.238 0.788 0.423
Sc 0.202 0.746 0.918
Sc 0.013 0.789 0.585
Sc 0.987 0.211 0.415
Sc 0.798 0.254 0.082
Sc 0.851 0.085 0.909
Zr 0.423 0.750 0.265
Zr 0.531 0.644 0.578
Zr 0.577 0.250 0.735
Zr 0.337 0.669 0.750
Zr 0.393 0.500 0.077
Zr 0.607 0.500 0.923
Zr 0.663 0.331 0.250
Zr 0.469 0.356 0.422
Tb 0.078 0.078 0.754
Tb 0.922 0.922 0.246

Properties
DOS(E_F) (states/eV per atom): 1.55
Total magnetization (μB/f.u.): 0.00
Symmetry: P-1
ΔE_f (eV/atom): 0.08
Crystal system: triclinic

---

# 8
The following is a DFT calculation (PBE) of a relaxed TbZr2Sc crystal.

a b c (Å): 3.298 3.298 10.843
angles (deg): 81.25 81.25 60.00
Positions (direct):
Tb 0.500 0.500 0.501
Sc 0.667 0.667 0.000
Zr 0.081 0.081 0.757
Zr 0.253 0.253 0.242

Properties
DOS(E_F) (states/eV per atom): 1.40
Total magnetization (μB/f.u.): 0.00
Symmetry: R3m
ΔE_f (eV/atom): 0.08
Crystal system: trigonal
Excess energy over the best structure of this formula in the dataset (eV/atom): 0.023

---

# 9
The following is a DFT calculation (PBE) of a relaxed TbZrSc2 crystal.

a b c (Å): 5.241 5.241 5.241
angles (deg): 60.00 60.00 60.00
Positions (direct):
Sc 0.250 0.250 0.250
Sc 0.750 0.750 0.750
Zr 0.500 0.500 0.500
Tb 0.000 0.000 0.000

Properties
DOS(E_F) (states/eV per atom): 2.05
Total magnetization (μB/f.u.): 0.65
Symmetry: Fm-3m
ΔE_f (eV/atom): 0.14
Crystal system: cubic
Excess energy over the best structure of this formula in the dataset (eV/atom): 0.105

---

# 10
The following is a DFT calculation (PBE) of a relaxed TbZrSc2 crystal.

a b c (Å): 4.617 4.689 4.689
angles (deg): 90.00 90.00 90.00
Positions (direct):
Sc 0.000 0.500 0.000
Sc 0.000 0.000 0.500
Tb 0.500 0.500 0.500
Zr 0.500 0.000 0.000

Properties
DOS(E_F) (states/eV per atom): 1.52
Total magnetization (μB/f.u.): 0.00
Symmetry: P4/mmm
ΔE_f (eV/atom): 0.06
Crystal system: tetragonal
Excess energy over the best structure of this formula in the dataset (eV/atom): 0.031

---

# 11
The following is a DFT calculation (PBE) of a relaxed TbZrSc3 crystal.

a b c (Å): 4.603 8.760 6.647
angles (deg): 100.74 90.00 105.23
Positions (direct):
Sc 0.605 0.210 0.048
Sc 0.202 0.405 0.340
Sc 0.395 0.790 0.952
Sc 0.002 0.003 0.757
Sc 0.998 0.997 0.243
Sc 0.798 0.595 0.660
Tb 0.398 0.796 0.445
Tb 0.602 0.204 0.555
Zr 0.795 0.591 0.134
Zr 0.205 0.409 0.866

Properties
DOS(E_F) (states/eV per atom): 1.25
Total magnetization (μB/f.u.): 0.00
Symmetry: C2/m
ΔE_f (eV/atom): 0.04
Crystal system: monoclinic
Excess energy over the best structure of this formula in the dataset (eV/atom): 0.000

---

# 12
The following is a DFT calculation (PBE) of a relaxed TbZr2Sc9 crystal.

a b c (Å): 4.602 4.602 13.923
angles (deg): 90.00 90.00 90.00
Positions (direct):
Zr 0.000 0.000 0.334
Zr 0.000 0.000 0.666
Sc 0.000 0.500 0.823
Sc 0.500 0.000 0.823
Sc 0.500 0.500 0.663
Sc 0.500 0.000 0.177
Sc 0.500 0.500 0.337
Sc 0.000 0.500 0.177
Sc 0.000 0.500 0.500
Sc 0.500 0.500 0.000
Sc 0.500 0.000 0.500
Tb 0.000 0.000 0.000

Properties
DOS(E_F) (states/eV per atom): 1.64
Total magnetization (μB/f.u.): 0.00
Symmetry: P4/mmm
ΔE_f (eV/atom): 0.04
Crystal system: tetragonal

---

# 13
The following is a DFT calculation (PBE) of a relaxed TbZrSc2 crystal.

a b c (Å): 3.295 6.594 11.480
angles (deg): 125.06 90.03 90.00
Positions (direct):
Sc 0.480 0.899 0.301
Sc 0.480 0.938 0.841
Sc 0.480 0.438 0.841
Sc 0.480 0.399 0.301
Tb 0.980 0.419 0.571
Tb 0.980 0.919 0.571
Zr 0.980 0.419 0.071
Zr 0.980 0.919 0.071

Properties
DOS(E_F) (states/eV per atom): 1.49
Total magnetization (μB/f.u.): 0.00
Symmetry: P4/mmm
ΔE_f (eV/atom): 0.03
Crystal system: tetragonal
Excess energy over the best structure of this formula in the dataset (eV/atom): 0.000

---

# 14
The following is a DFT calculation (PBE) of a relaxed TbZr2Sc2 crystal.

a b c (Å): 8.682 8.682 3.376
angles (deg): 90.00 90.00 90.00
Positions (direct):
Sc 0.877 0.377 0.000
Sc 0.377 0.123 0.000
Sc 0.123 0.623 0.000
Sc 0.623 0.877 0.000
Zr 0.828 0.672 0.500
Zr 0.172 0.328 0.500
Zr 0.672 0.172 0.500
Zr 0.328 0.828 0.500
Tb 0.500 0.500 0.000
Tb 0.000 0.000 0.000

Properties
DOS(E_F) (states/eV per atom): 1.44
Total magnetization (μB/f.u.): 0.00
Symmetry: P4/mbm
ΔE_f (eV/atom): 0.10
Crystal system: tetragonal

---

# 15
The following is a DFT calculation (PBE) of a relaxed TbZrSc2 crystal.

a b c (Å): 3.334 3.334 10.844
angles (deg): 81.16 81.16 60.00
Positions (direct):
Zr 0.666 0.666 0.001
Tb 0.501 0.501 0.498
Sc 0.078 0.078 0.766
Sc 0.255 0.255 0.235

Properties
DOS(E_F) (states/eV per atom): 1.72
Total magnetization (μB/f.u.): 0.00
Symmetry: R3m
ΔE_f (eV/atom): 0.05
Crystal system: trigonal
Excess energy over the best structure of this formula in the dataset (eV/atom): 0.016

---

# 16
The following is a DFT calculation (PBE) of a relaxed TbZrSc4 crystal.

a b c (Å): 5.987 8.447 7.832
angles (deg): 113.15 100.14 112.47
Positions (direct):
Sc 0.792 0.418 0.260
Sc 0.371 0.904 0.621
Sc 0.032 0.158 0.740
Sc 0.250 0.283 0.379
Sc 0.968 0.842 0.260
Sc 0.750 0.717 0.621
Sc 0.208 0.582 0.740
Sc 0.629 0.096 0.379
Tb 0.664 0.414 0.828
Tb 0.336 0.586 0.172
Zr 0.247 0.997 0.993
Zr 0.753 0.003 0.007

Properties
DOS(E_F) (states/eV per atom): 1.77
Total magnetization (μB/f.u.): 0.00
Symmetry: C2/c
ΔE_f (eV/atom): 0.11
Crystal system: monoclinic
Excess energy over the best structure of this formula in the dataset (eV/atom): 0.113

---

# 17
The following is a DFT calculation (PBE) of a relaxed TbZrSc4 crystal.

a b c (Å): 3.329 5.205 8.915
angles (deg): 90.01 100.76 90.00
Positions (direct):
Sc 0.944 0.003 0.133
Sc 0.051 0.503 0.347
Sc 0.732 0.503 0.709
Sc 0.285 0.003 0.816
Zr 0.393 0.503 0.031
Tb 0.615 0.003 0.475

Properties
DOS(E_F) (states/eV per atom): 1.72
Total magnetization (μB/f.u.): 0.00
Symmetry: Amm2
ΔE_f (eV/atom): 0.00
Crystal system: orthorhombic
Excess energy over the best structure of this formula in the dataset (eV/atom): 0.000

---

# 18
The following is a DFT calculation (PBE) of a relaxed TbZr2Sc3 crystal.

a b c (Å): 3.202 8.939 10.541
angles (deg): 86.27 90.00 90.00
Positions (direct):
Zr 0.750 0.551 0.125
Zr 0.250 0.911 0.623
Zr 0.250 0.449 0.875
Zr 0.750 0.089 0.377
Sc 0.750 0.600 0.618
Sc 0.250 0.074 0.879
Sc 0.250 0.400 0.382
Sc 0.750 0.762 0.862
Sc 0.750 0.926 0.121
Sc 0.250 0.238 0.138
Tb 0.750 0.245 0.644
Tb 0.250 0.755 0.356

Properties
DOS(E_F) (states/eV per atom): 1.52
Total magnetization (μB/f.u.): 0.00
Symmetry: P2_1/m
ΔE_f (eV/atom): 0.11
Crystal system: monoclinic

---

# 19
The following is a DFT calculation (PBE) of a relaxed TbZrSc3 crystal.

a b c (Å): 3.273 7.871 13.085
angles (deg): 128.38 90.00 90.00
Positions (direct):
Sc 0.250 0.711 0.090
Sc 0.750 0.130 0.294
Sc 0.750 0.289 0.910
Sc 0.750 0.614 0.436
Sc 0.250 0.870 0.706
Sc 0.250 0.386 0.564
Tb 0.250 0.283 0.134
Tb 0.750 0.717 0.866
Zr 0.750 0.120 0.626
Zr 0.250 0.880 0.374

Properties
DOS(E_F) (states/eV per atom): 1.29
Total magnetization (μB/f.u.): 0.00
Symmetry: P2_1/m
ΔE_f (eV/atom): 0.15
Crystal system: monoclinic
Excess energy over the best structure of this formula in the dataset (eV/atom): 0.110

---

# 20
The following is a DFT calculation (PBE) of a relaxed TbZrSc crystal.

a b c (Å): 3.246 4.978 10.943
angles (deg): 62.94 81.47 90.00
Positions (direct):
Zr 0.548 0.579 0.512
Zr 0.967 0.917 0.674
Sc 0.396 0.276 0.815
Sc 0.129 0.238 0.354
Tb 0.308 0.597 0.994
Tb 0.720 0.920 0.171

Properties
DOS(E_F) (states/eV per atom): 1.46
Total magnetization (μB/f.u.): 0.00
Symmetry: Amm2
ΔE_f (eV/atom): 0.09
Crystal system: orthorhombic
Excess energy over the best structure of this formula in the dataset (eV/atom): 0.056

---

Calculated density / kg/m³: 6225 4604 6252 6408 6366 6272 5302 6381 5547 5561 5039 4201 5532 5628 5497 4596 4704 5253 4838 6312